Record 1
Crystalline Gd3Ho3CoTe2 at its relaxed geometry. Source: OQMD, functional PBE.

energy above the lowest structure with this stoichiometry = 0.0000 eV/atom
crystal system = hexagonal

Cell: 8.3605 8.3605 3.9370 Å, 90.00 90.00 120.00°
Last column: nearest neighbours and their distance in Å.
Positions (direct):
Te1 0.3333 0.6667 0.5000  6 Gd 3.22, 3 Ho 3.28
Te2 0.6667 0.3333 0.5000  6 Gd 3.22, 3 Ho 3.28
Co1 0.0000 0.0000 0.0000  6 Ho 2.77
Gd1 0.4026 0.4026 0.0000  4 Te 3.22, 1 Co 3.37, 4 Ho 3.53
Gd2 0.5974 0.0000 0.0000  4 Te 3.22, 1 Co 3.37, 4 Ho 3.53
Gd3 0.0000 0.5974 0.0000  4 Te 3.22, 1 Co 3.37, 4 Ho 3.53
Ho1 0.7663 0.7663 0.5000  2 Co 2.77
Ho2 0.2337 0.0000 0.5000  2 Co 2.77
Ho3 0.0000 0.2337 0.5000  2 Co 2.77

---

Record 2
Crystalline Ta7Re8 at its relaxed geometry. Source: OQMD, functional PBE.

energy above the lowest structure with this stoichiometry = 0.0000 eV/atom
crystal system = tetragonal

Cell: 9.8266 9.8266 5.1236 Å, 90.00 90.00 90.00°
Last column: nearest neighbours and their distance in Å.
Positions (direct):
Re1 0.3168 0.6832 0.7526  4 Re 2.54-2.82
Re2 0.6832 0.3168 0.2474  4 Re 2.54-2.82
Re3 0.7580 0.5675 0.5000  5 Ta 2.62-2.81, 5 Re 2.65-2.88
Re4 0.5675 0.7580 0.5000  5 Ta 2.62-2.81, 5 Re 2.65-2.88
Re5 0.2580 0.9325 0.0000  5 Ta 2.62-2.81, 5 Re 2.65-2.88
Re6 0.7420 0.0675 0.0000  5 Ta 2.62-2.81, 5 Re 2.65-2.88
Re7 0.1832 0.1832 0.7474  4 Re 2.54-2.82
Re8 0.2420 0.4325 0.5000  5 Ta 2.62-2.81, 5 Re 2.65-2.88
Re9 0.0675 0.7420 0.0000  5 Ta 2.62-2.81, 5 Re 2.65-2.88
Re10 0.8168 0.8168 0.2526  4 Re 2.54-2.82
Re11 0.6832 0.3168 0.7526  4 Re 2.54-2.82
Re12 0.9325 0.2580 0.0000  5 Ta 2.62-2.81, 5 Re 2.65-2.88
Re13 0.1832 0.1832 0.2526  4 Re 2.54-2.82
Re14 0.3168 0.6832 0.2474  4 Re 2.54-2.82
Re15 0.4325 0.2420 0.5000  5 Ta 2.62-2.81, 5 Re 2.65-2.88
Re16 0.8168 0.8168 0.7474  4 Re 2.54-2.82
Ta1 0.9628 0.3697 0.5000  2 Ta 2.66-2.71, 4 Re 2.80-2.81
Ta2 0.8697 0.5372 0.0000  2 Ta 2.66-2.71, 4 Re 2.80-2.81
Ta3 0.6020 0.6020 0.0000  5 Ta 2.71-2.93, 4 Re 3.00
Ta4 0.1020 0.8980 0.5000  5 Ta 2.71-2.93, 4 Re 3.00
Ta5 0.6303 0.0372 0.5000  2 Ta 2.66-2.71, 4 Re 2.80-2.81
Ta6 0.0372 0.6303 0.5000  2 Ta 2.66-2.71, 4 Re 2.80-2.81
Ta7 0.3697 0.9628 0.5000  2 Ta 2.66-2.71, 4 Re 2.80-2.81
Ta8 0.0000 0.0000 0.0000  8 Re 2.62-2.86, 4 Ta 2.93
Ta9 0.4628 0.1303 0.0000  2 Ta 2.66-2.71, 4 Re 2.80-2.81
Ta10 0.3980 0.3980 0.0000  5 Ta 2.71-2.93, 4 Re 3.00
Ta11 0.1303 0.4628 0.0000  2 Ta 2.66-2.71, 4 Re 2.80-2.81
Ta12 0.5000 0.5000 0.5000  8 Re 2.62-2.86, 4 Ta 2.93
Ta13 0.5372 0.8697 0.0000  2 Ta 2.66-2.71, 4 Re 2.80-2.81
Ta14 0.8980 0.1020 0.5000  5 Ta 2.71-2.93, 4 Re 3.00

---

Record 3
Crystalline DyReB at its relaxed geometry. Source: OQMD, functional PBE.

energy above the lowest structure with this stoichiometry = 0.0000 eV/atom
crystal system = orthorhombic

Cell: 6.8326 3.3196 8.2604 Å, 90.00 90.00 90.00°
Last column: nearest neighbours and their distance in Å.
Positions (direct):
Re1 0.3599 0.7500 0.9475  3 B 2.21-2.39
Re2 0.1401 0.2500 0.4475  3 B 2.21-2.39
Re3 0.8599 0.7500 0.5525  3 B 2.21-2.39
Re4 0.6401 0.2500 0.0525  3 B 2.21-2.39
B1 0.7010 0.7500 0.8836  3 Re 2.21-2.39
B2 0.2010 0.7500 0.6164  3 Re 2.21-2.39
B3 0.2990 0.2500 0.1164  3 Re 2.21-2.39
B4 0.7990 0.2500 0.3836  3 Re 2.21-2.39
Dy1 0.0195 0.2500 0.8251  4 B 2.70-2.78, 2 Re 3.00
Dy2 0.4805 0.7500 0.3251  4 B 2.70-2.78, 2 Re 3.00
Dy3 0.5195 0.2500 0.6749  4 B 2.70-2.78, 2 Re 3.00
Dy4 0.9805 0.7500 0.1749  4 B 2.70-2.78, 2 Re 3.00

---

Record 4
Crystalline ErZrSi2 at its relaxed geometry. Source: OQMD, functional PBE.

energy above the lowest structure with this stoichiometry = 0.0136 eV/atom
crystal system = orthorhombic

Cell: 3.7999 5.4777 5.4777 Å, 42.50 90.00 90.00°
Last column: nearest neighbours and their distance in Å.
Positions (direct):
Si1 0.5000 0.5767 0.5767  2 Si 2.49
Si2 0.0000 0.4193 0.4193  2 Si 2.49
Er1 0.0000 0.1434 0.1434  7 Si 2.82-3.03
Zr1 0.5000 0.8605 0.8605  7 Si 2.81-2.97

---

Record 5
Crystalline PrRePt at its relaxed geometry. Source: OQMD, functional PBE.

energy above the lowest structure with this stoichiometry = 0.0000 eV/atom
crystal system = cubic

Cell: 4.6780 4.6780 4.6780 Å, 60.00 60.00 60.00°
Last column: nearest neighbours and their distance in Å.
Positions (direct):
Pt1 0.0000 0.0000 0.0000  4 Re 2.86, 4 Pr 2.86
Re1 0.7500 0.7500 0.7500  4 Pt 2.86
Pr1 0.2500 0.2500 0.2500  4 Pt 2.86

---

Record 6
Crystalline Mg2Cd2SiGe at its relaxed geometry. Source: OQMD, functional PBE.

energy = -2.37 eV per atom
crystal system = monoclinic

Cell: 11.1476 4.5587 11.1508 Å, 90.00 109.25 90.00°
Last column: nearest neighbours and their distance in Å.
Positions (direct):
Si1 0.5024 0.0000 0.7522  4 Cd 2.74-2.77
Si2 0.7514 0.0000 0.5022  4 Cd 2.77-2.79
Si3 0.8743 0.5000 0.8751  4 Cd 2.74-2.75
Si4 0.0004 0.0000 0.2479  4 Cd 2.75-2.76
Ge1 0.2478 0.0000 0.9988  4 Cd 2.81-2.85
Ge2 0.3758 0.5000 0.3773  4 Cd 2.79-2.82
Ge3 0.1248 0.5000 0.6229  4 Cd 2.81-2.83
Ge4 0.6265 0.5000 0.1264  4 Cd 2.81-2.84
Mg1 0.0030 0.0000 0.7501  4 Cd 2.80-2.82
Mg2 0.6245 0.5000 0.6241  4 Cd 2.75-2.76
Mg3 0.3779 0.5000 0.8758  4 Cd 2.79-2.81
Mg4 0.1199 0.5000 0.1171  4 Cd 2.79-2.81
Mg5 0.8756 0.5000 0.3813  4 Cd 2.77-2.78
Mg6 0.2475 0.0000 0.4932  4 Cd 2.80-2.81
Mg7 0.5042 0.0000 0.2538  4 Cd 2.81-2.82
Mg8 0.7434 0.0000 0.0013  4 Cd 2.78-2.79
Cd1 0.7565 0.0000 0.2557  2 Si 2.75-2.77, 4 Mg 2.77-2.81, 2 Ge 2.83
Cd2 0.3746 0.5000 0.1264  4 Ge 2.79-2.81, 4 Mg 2.81-2.82
Cd3 0.1201 0.5000 0.3675  2 Si 2.75, 4 Mg 2.78-2.80, 2 Ge 2.82-2.83
Cd4 0.6268 0.5000 0.8720  3 Si 2.75-2.77, 4 Mg 2.76-2.79, 1 Ge 2.84
Cd5 0.9914 0.0000 0.9972  3 Si 2.75-2.76, 4 Mg 2.78-2.80, 1 Ge 2.85
Cd6 0.8730 0.5000 0.6289  3 Si 2.74-2.79, 4 Mg 2.75-2.80, 1 Ge 2.83
Cd7 0.2548 0.0000 0.7475  1 Si 2.74, 4 Mg 2.80-2.82, 3 Ge 2.81-2.83
Cd8 0.5034 0.0000 0.5053  4 Mg 2.76-2.81, 2 Si 2.76-2.78, 2 Ge 2.81

---

Record 7
Crystalline Dy2Ho2CI2BrCl2 at its relaxed geometry. Source: OQMD, functional PBE.

energy above the lowest structure with this stoichiometry = 0.0022 eV/atom
crystal system = monoclinic

Cell: 9.1131 9.1131 8.1738 Å, 101.24 101.24 24.33°
Last column: nearest neighbours and their distance in Å.
Positions (direct):
Br1 0.5000 0.5000 0.5000  4 Ho 3.12
C1 0.5000 0.5000 0.0000  2 Dy 2.39, 4 Ho 2.52
I1 0.8309 0.8309 0.6487  2 Dy 3.02, 1 Ho 3.07
I2 0.1691 0.1691 0.3513  2 Dy 3.02, 1 Ho 3.07
Ho1 0.0027 0.0027 0.8020  2 C 2.52
Ho2 0.9973 0.9973 0.1980  2 C 2.52
Cl1 0.1647 0.1647 0.8400  2 Dy 2.75, 1 Ho 2.84
Cl2 0.8353 0.8353 0.1600  2 Dy 2.75, 1 Ho 2.84
Dy1 0.3633 0.3633 0.9388  1 C 2.39
Dy2 0.6367 0.6367 0.0612  1 C 2.39

---

Record 8
Crystalline NdTaN2O at its relaxed geometry. Source: OQMD, functional PBE.

energy = -9.56 eV per atom
crystal system = triclinic

Cell: 7.9883 7.9963 8.0985 Å, 90.03 90.23 90.07°
Last column: nearest neighbours and their distance in Å.
Positions (direct):
N1 0.2713 0.0466 0.0238  2 Ta 2.02-2.15
N2 0.0002 0.4532 0.2469  2 Ta 1.98-2.01
N3 0.3075 0.7479 0.8065  2 Ta 1.97-2.02
N4 0.9998 0.5470 0.8039  2 Ta 1.98-2.01
N5 0.2350 0.5334 0.5277  2 Ta 2.04-2.11
N6 0.7651 0.4666 0.5231  2 Ta 2.04-2.10
N7 0.2072 0.7523 0.2316  2 Ta 1.99-2.00
N8 0.7907 0.0358 0.5246  2 Ta 2.01-2.11
N9 0.2093 0.9638 0.5260  2 Ta 2.01-2.11
N10 0.2854 0.4501 0.0266  2 Ta 2.05-2.09
N11 0.5002 0.0471 0.7427  2 Ta 2.00-2.01
N12 0.7143 0.5496 0.0240  2 Ta 2.05-2.09
N13 0.4997 0.9533 0.3078  2 Ta 2.00-2.01
N14 0.6929 0.2521 0.2444  2 Ta 1.97-2.02
N15 0.7285 0.9531 0.0268  2 Ta 2.02-2.15
N16 0.7932 0.2475 0.8190  2 Ta 1.99-2.00
O1 0.2918 0.2522 0.3262  2 Ta 2.13-2.14, 1 Nd 2.38
O2 0.5010 0.5666 0.3001  2 Ta 2.12-2.15
O3 0.4992 0.4333 0.7512  2 Ta 2.12-2.15
O4 0.9979 0.9346 0.8027  2 Ta 2.10-2.15
O5 0.8160 0.7547 0.3045  2 Ta 2.11-2.19
O6 0.7087 0.7478 0.7240  2 Ta 2.14, 1 Nd 2.38
O7 0.1844 0.2454 0.7460  2 Ta 2.11-2.19
O8 0.0023 0.0658 0.2482  2 Ta 2.10-2.15
Nd1 0.4798 0.7484 0.5351  2 O 2.38-2.40, 3 N 2.47-2.60
Nd2 0.5200 0.2520 0.5154  2 O 2.38-2.40, 3 N 2.47-2.60
Nd3 0.0278 0.2504 0.0157  2 O 2.40-2.52, 4 N 2.46-2.60
Nd4 0.9884 0.7490 0.5436  2 O 2.37-2.57, 2 N 2.47-2.62
Nd5 0.0110 0.2511 0.5074  2 O 2.37-2.57, 2 N 2.47-2.62
Nd6 0.4896 0.7528 0.0482  5 N 2.43-2.71, 1 O 2.53
Nd7 0.5103 0.2472 0.0027  5 N 2.43-2.71, 1 O 2.52
Nd8 0.9724 0.7500 0.0349  2 O 2.40-2.52, 4 N 2.46-2.61
Ta1 0.7478 0.0085 0.7677  4 N 1.99-2.15, 2 O 2.10-2.14
Ta2 0.7409 0.0054 0.2702  4 N 2.00-2.11, 2 O 2.11-2.15
Ta3 0.7527 0.4895 0.2726  4 N 1.97-2.09, 2 O 2.12-2.19
Ta4 0.2405 0.5076 0.2686  4 N 1.98-2.11, 2 O 2.13-2.15
Ta5 0.2471 0.5105 0.7777  4 N 1.97-2.09, 2 O 2.12-2.19
Ta6 0.2518 0.9916 0.2831  4 N 1.99-2.15, 2 O 2.10-2.14
Ta7 0.2590 0.9944 0.7805  4 N 2.00-2.11, 2 O 2.11-2.15
Ta8 0.7595 0.4922 0.7817  4 N 1.98-2.10, 2 O 2.14-2.15

---

Record 9
Crystalline ZrAs2Ir at its relaxed geometry. Source: OQMD, functional PBE.

energy = -6.80 eV per atom
crystal system = cubic

Cell: 4.6708 4.6708 4.6708 Å, 60.00 60.00 60.00°
Last column: nearest neighbours and their distance in Å.
Positions (direct):
Ir1 0.5000 0.5000 0.5000  4 Zr 2.86, 4 As 2.86
As1 0.0000 0.0000 0.0000  4 Zr 2.86, 4 As 2.86
As2 0.2500 0.2500 0.2500  4 Ir 2.86, 4 As 2.86
Zr1 0.7500 0.7500 0.7500  4 As 2.86, 4 Ir 2.86

---

Record 10
Crystalline CuAg3 at its relaxed geometry. Source: OQMD, functional PBE.

energy = -3.00 eV per atom
crystal system = tetragonal

Cell: 2.8968 2.8968 15.7108 Å, 90.00 90.00 90.00°
Last column: nearest neighbours and their distance in Å.
Positions (direct):
Cu1 0.0000 0.5000 0.3167  8 Ag 2.73, 4 Cu 2.90
Cu2 0.5000 0.0000 0.6833  8 Ag 2.73, 4 Cu 2.90
Ag1 0.5000 0.0000 0.4318  4 Cu 2.73, 8 Ag 2.90-2.96
Ag2 0.0000 0.5000 0.5682  4 Cu 2.73, 8 Ag 2.90-2.96
Ag3 0.0000 0.5000 0.7982  4 Cu 2.73, 8 Ag 2.90-2.95
Ag4 0.5000 0.0000 0.9335  12 Ag 2.90-2.95
Ag5 0.5000 0.0000 0.2018  4 Cu 2.73, 8 Ag 2.90-2.95
Ag6 0.0000 0.5000 0.0665  12 Ag 2.90-2.95

---

Record 11
Crystalline TlHgPt at its relaxed geometry. Source: OQMD, functional PBE.

energy above the lowest structure with this stoichiometry = 0.0000 eV/atom
crystal system = cubic

Cell: 4.6594 4.6594 4.6594 Å, 60.00 60.00 60.00°
Last column: nearest neighbours and their distance in Å.
Positions (direct):
Tl1 0.7500 0.7500 0.7500  4 Pt 2.85
Hg1 0.2500 0.2500 0.2500  4 Pt 2.85
Pt1 0.0000 0.0000 0.0000  4 Tl 2.85, 4 Hg 2.85

---

Record 12
Crystalline LuZrCoSn at its relaxed geometry. Source: OQMD, functional PBE.

energy above the lowest structure with this stoichiometry = 0.0000 eV/atom
crystal system = cubic

Cell: 4.7877 4.7877 4.7877 Å, 60.00 60.00 60.00°
Last column: nearest neighbours and their distance in Å.
Positions (direct):
Zr1 0.2500 0.2500 0.2500  4 Sn 2.93, 4 Lu 2.93
Co1 0.7500 0.7500 0.7500  4 Lu 2.93, 4 Sn 2.93
Sn1 0.0000 0.0000 0.0000  4 Zr 2.93, 4 Co 2.93
Lu1 0.5000 0.5000 0.5000  4 Co 2.93, 4 Zr 2.93